Entry 1:
Material: GaMoP3
Method: DFT, GGA-PBEsol
State: optimized geometry

Space-group type: Pm-3m, No. 221
DOS at the Fermi energy, states/eV per cell: 3.40
Energy relative to the elements, eV/atom: 0.43
Size of the total moment, μB/atom: 0.0001

Cell: 4.6649 4.6649 4.6649 Å, 90.00 90.00 90.00°
Sites, in units of the cell vectors:
P  0.0000  0.0000  0.5000
P  0.5000  0.0000  0.0000
P  0.0000  0.5000  0.0000
Mo  0.0000  0.0000  0.0000
Ga  0.5000  0.5000  0.5000

=====

Entry 2:
Material: Y2Ni
Method: DFT, GGA-PBEsol
State: optimized geometry

Space-group type: Pa-3, No. 205
DOS at the Fermi energy, states/eV per cell: 10.19
Energy relative to the elements, eV/atom: -0.20
Size of the total moment, μB/atom: 0.0000

Cell: 6.6253 6.6253 6.6253 Å, 90.00 90.00 90.00°
Sites, in units of the cell vectors:
Y  0.6635  0.6635  0.6635
Y  0.1635  0.6635  0.8365
Y  0.1635  0.8365  0.3365
Y  0.6635  0.8365  0.1635
Y  0.3365  0.3365  0.3365
Y  0.3365  0.1635  0.8365
Y  0.8365  0.1635  0.6635
Y  0.8365  0.3365  0.1635
Ni  0.5000  0.0000  0.5000
Ni  0.0000  0.0000  0.0000
Ni  0.0000  0.5000  0.5000
Ni  0.5000  0.5000  0.0000

=====

Entry 3:
Material: CdTcCl2
Method: DFT, GGA-PBEsol
State: optimized geometry

Space-group type: P4mm, No. 99
DOS at the Fermi energy, states/eV per cell: 0.80
Raw formation energy, eV/atom: -0.02
Size of the total moment, μB/atom: 0.0000
Energy above the most stable polymorph in this dataset, meV per atom: 0

Cell: 3.0364 3.0364 7.8885 Å, 90.00 90.00 90.00°
Sites, in units of the cell vectors:
Cl  0.5000  0.5000  0.3268
Cl  0.0000  0.0000  0.9599
Cd  0.5000  0.5000  0.7405
Tc  0.0000  0.0000  0.4728

=====

Entry 4:
Material: HfAsSe2
Method: DFT, GGA-PBEsol
State: optimized geometry

Space-group type: R-3m, No. 166
DOS at the Fermi energy, states/eV per cell: 2.54
Raw formation energy, eV/atom: 0.06
Size of the total moment, μB/atom: 0.0002

Cell: 3.5406 3.5406 8.6894 Å, 78.24 78.24 60.00°
Sites, in units of the cell vectors:
As  0.5000  0.5000  0.5000
Se  0.8990  0.8990  0.3030
Se  0.1010  0.1010  0.6970
Hf  0.0000  0.0000  0.0000

=====

Entry 5:
Material: Sr2ScTc
Method: DFT, GGA-PBEsol
State: optimized geometry

Space-group type: P4mm, No. 99
DOS at the Fermi energy, states/eV per cell: 4.75
Energy relative to the elements, eV/atom: 0.30
Size of the total moment, μB/atom: 0.0002
Energy above the most stable polymorph in this dataset, meV per atom: 0

Cell: 3.5864 3.5864 9.0948 Å, 90.00 90.00 90.00°
Sites, in units of the cell vectors:
Sr  0.5000  0.5000  0.3251
Sr  0.0000  0.0000  0.9402
Tc  0.0000  0.0000  0.5639
Sc  0.5000  0.5000  0.6709

=====

Entry 6:
Material: KRbO
Method: DFT, GGA-PBEsol
State: optimized geometry

Space-group type: P4/nmm, No. 129
Raw formation energy, eV/atom: -0.90
Size of the total moment, μB/atom: 0.0191

Cell: 4.6164 4.6164 6.6252 Å, 90.00 90.00 90.00°
Sites, in units of the cell vectors:
Rb  0.0000  0.0000  0.0000
Rb  0.5000  0.5000  0.0000
K  0.0000  0.5000  0.6038
K  0.5000  0.0000  0.3962
O  0.5000  0.0000  0.7645
O  0.0000  0.5000  0.2355